1.
# SmTmHg4 | Alexandria | PBE-GGA | optimized geometry
data_SmTmHg4
_symmetry_space_group_name_H-M 'C 1 2/m 1'
_symmetry_Int_Tables_number 12
_symmetry_space_group_name_Hall '-C 2y'
_cell_length_a 10.784
_cell_length_b 3.864
_cell_length_c 7.770
_cell_angle_alpha 90.00
_cell_angle_beta 110.50
_cell_angle_gamma 90.00
loop_
_atom_site_label
_atom_site_fract_x
_atom_site_fract_y
_atom_site_fract_z
Sm1 0.000 0.000 0.000
Tm1 0.000 0.000 0.500
Hg1 0.167 0.500 0.825
Hg2 0.168 0.500 0.342
# energy above the most stable polymorph in this dataset: 0.308 eV per formula unit
# crystal system: monoclinic
# magnetization: 0.273 Bohr magnetons per cell
# formation enthalpy at 0 K: -335.6 meV per atom

---

2.
# YSe2BrCl | Alexandria | PBE-GGA | optimized geometry
data_YSe2BrCl
_symmetry_space_group_name_H-M 'P 4/m m m'
_symmetry_Int_Tables_number 123
_symmetry_space_group_name_Hall '-P 4 2'
_cell_length_a 5.185
_cell_length_b 5.185
_cell_length_c 4.867
_cell_angle_alpha 90.00
_cell_angle_beta 90.00
_cell_angle_gamma 90.00
loop_
_atom_site_label
_atom_site_fract_x
_atom_site_fract_y
_atom_site_fract_z
Y1 0.000 0.000 0.000
Se1 0.000 0.500 0.500
Br1 0.500 0.500 0.000
Cl1 0.500 0.500 0.500
# energy relative to the elements, uncorrected: -0.08 eV/atom
# energy above the most stable polymorph in this dataset: 2.156 eV per formula unit
# crystal system: tetragonal
# magnetization: 0.000 Bohr magnetons per cell

---

3.
# CdAuF3 | Alexandria | PBE-GGA | optimized geometry
data_CdAuF3
_symmetry_space_group_name_H-M 'P m -3 m'
_symmetry_Int_Tables_number 221
_symmetry_space_group_name_Hall '-P 4 2 3'
_cell_length_a 4.401
_cell_length_b 4.401
_cell_length_c 4.401
_cell_angle_alpha 90.00
_cell_angle_beta 90.00
_cell_angle_gamma 90.00
loop_
_atom_site_label
_atom_site_fract_x
_atom_site_fract_y
_atom_site_fract_z
Cd1 0.000 0.000 0.000
Au1 0.500 0.500 0.500
F1 0.000 0.000 0.500
# energy relative to the elements, uncorrected: -1.22 eV/atom
# energy above the most stable polymorph in this dataset: 0.000 eV per formula unit
# crystal system: cubic
# magnetization: 0.000 Bohr magnetons per cell

---

4.
# CeThGaTc | Alexandria | PBE-GGA | optimized geometry
data_CeThGaTc
_symmetry_space_group_name_H-M 'A m m 2'
_symmetry_Int_Tables_number 38
_symmetry_space_group_name_Hall 'A 2 -2'
_cell_length_a 4.128
_cell_length_b 4.484
_cell_length_c 10.392
_cell_angle_alpha 90.00
_cell_angle_beta 90.00
_cell_angle_gamma 90.00
loop_
_atom_site_label
_atom_site_fract_x
_atom_site_fract_y
_atom_site_fract_z
Ce1 0.000 0.000 0.000
Th1 0.500 0.000 0.297
Ga1 0.500 0.000 0.591
Tc1 0.000 0.000 0.777
# energy above the most stable polymorph in this dataset: 0.000 eV per formula unit
# crystal system: orthorhombic
# magnetization: 0.001 Bohr magnetons per cell
# formation enthalpy at 0 K: -338.7 meV per atom

---

5.
# Tm6BTe2 | Alexandria | PBE-GGA | optimized geometry
data_Tm6BTe2
_symmetry_space_group_name_H-M 'P 1 21/c 1'
_symmetry_Int_Tables_number 14
_symmetry_space_group_name_Hall '-P 2ybc'
_cell_length_a 6.222
_cell_length_b 7.622
_cell_length_c 11.457
_cell_angle_alpha 90.00
_cell_angle_beta 120.95
_cell_angle_gamma 90.00
loop_
_atom_site_label
_atom_site_fract_x
_atom_site_fract_y
_atom_site_fract_z
Tm1 0.120 0.181 0.463
Tm2 0.326 0.693 0.461
Tm3 0.373 0.024 0.252
B1 0.500 0.000 0.500
Te1 0.157 0.110 0.749
# energy relative to the elements, uncorrected: -0.59 eV/atom
# crystal system: monoclinic
# magnetization: 0.000 Bohr magnetons per cell

---

6.
# Be2ZnP | Alexandria | PBE-GGA | optimized geometry
data_Be2ZnP
_symmetry_space_group_name_H-M 'P 1 m 1'
_symmetry_Int_Tables_number 6
_symmetry_space_group_name_Hall 'P -2y'
_cell_length_a 2.534
_cell_length_b 3.258
_cell_length_c 6.051
_cell_angle_alpha 90.00
_cell_angle_beta 101.37
_cell_angle_gamma 90.00
loop_
_atom_site_label
_atom_site_fract_x
_atom_site_fract_y
_atom_site_fract_z
Be1 0.000 0.000 0.000
Be2 0.408 0.500 0.797
Zn1 0.611 0.500 0.230
P1 0.813 0.000 0.622
# energy above the most stable polymorph in this dataset: 0.002 eV per formula unit
# crystal system: monoclinic
# magnetization: 0.000 Bohr magnetons per cell
# formation enthalpy at 0 K: 227.6 meV per atom

---

7.
# Pm3PrHoTh | Alexandria | PBE-GGA | optimized geometry
data_Pm3PrHoTh
_symmetry_space_group_name_H-M 'P 1 21/m 1'
_symmetry_Int_Tables_number 11
_symmetry_space_group_name_Hall '-P 2yb'
_cell_length_a 8.123
_cell_length_b 5.133
_cell_length_c 10.271
_cell_angle_alpha 90.00
_cell_angle_beta 108.57
_cell_angle_gamma 90.00
loop_
_atom_site_label
_atom_site_fract_x
_atom_site_fract_y
_atom_site_fract_z
Pm1 0.173 0.250 0.045
Pm2 0.179 0.250 0.544
Pm3 0.180 0.750 0.295
Pr1 0.171 0.750 0.792
Ho1 0.500 0.250 0.872
Th1 0.499 0.250 0.378
# crystal system: monoclinic
# magnetization: 0.000 Bohr magnetons per cell
# formation enthalpy at 0 K: 31.0 meV per atom

---

8.
# YCd2OsS | Alexandria | PBE-GGA | optimized geometry
data_YCd2OsS
_symmetry_space_group_name_H-M 'P 4/m m m'
_symmetry_Int_Tables_number 123
_symmetry_space_group_name_Hall '-P 4 2'
_cell_length_a 5.910
_cell_length_b 5.910
_cell_length_c 5.089
_cell_angle_alpha 90.00
_cell_angle_beta 90.00
_cell_angle_gamma 90.00
loop_
_atom_site_label
_atom_site_fract_x
_atom_site_fract_y
_atom_site_fract_z
Y1 0.000 0.000 0.000
Cd1 0.000 0.500 0.000
Os1 0.000 0.000 0.500
S1 0.500 0.500 0.500
# energy relative to the elements, uncorrected: 1.55 eV/atom
# crystal system: tetragonal
# magnetization: 3.009 Bohr magnetons per cell